# 1
VASP calculation (PBE) on a relaxed structure of Li2Bi2Au.

abc: 7.545 7.545 4.436
angles: 90.00 90.00 90.00
Sites, in units of the cell vectors:
Li 0.151 0.349 0.000
Li 0.349 0.849 0.000
Li 0.651 0.151 0.000
Li 0.849 0.651 0.000
Bi 0.149 0.649 0.500
Bi 0.351 0.149 0.500
Bi 0.649 0.851 0.500
Bi 0.851 0.351 0.500
Au 0.000 0.000 0.500
Au 0.500 0.500 0.500

## Properties
- ΔE to the lowest computed polymorph (eV/f.u.) = 0.32
- E_tot (eV/f.u.) = -16.16
- magnetic moment (μB per atom) = 0.00
- formation energy (kJ/mol of formula units) = -124



# 2
VASP calculation (PBE) on a relaxed structure of Pr5Tl2Zn2.

abc: 9.505 9.505 7.713
angles: 90.00 90.00 51.34
Sites, in units of the cell vectors:
Pr 0.000 0.000 0.000
Pr 0.056 0.677 0.676
Pr 0.177 0.556 0.176
Pr 0.323 0.944 0.676
Pr 0.444 0.823 0.176
Pr 0.500 0.500 0.500
Pr 0.556 0.177 0.824
Pr 0.677 0.056 0.324
Pr 0.823 0.444 0.824
Pr 0.944 0.323 0.324
Tl 0.221 0.221 0.000
Tl 0.279 0.279 0.500
Tl 0.721 0.721 0.500
Tl 0.779 0.779 0.000
Zn 0.115 0.885 0.385
Zn 0.385 0.615 0.885
Zn 0.615 0.385 0.115
Zn 0.885 0.115 0.615

## Properties
- E_tot (eV/f.u.) = -33.33
- magnetic moment (μB per atom) = 0.00
- formation energy (kJ/mol of formula units) = -207



# 3
VASP calculation (PBE) on a relaxed structure of HoPaCu2.

abc: 4.869 4.869 4.869
angles: 60.00 60.00 60.00
Sites, in units of the cell vectors:
Ho 0.000 0.000 0.000
Pa 0.500 0.500 0.500
Cu 0.250 0.250 0.250
Cu 0.750 0.750 0.750

## Properties
- ΔE to the lowest computed polymorph (eV/f.u.) = 0.29
- E_tot (eV/f.u.) = -22.04
- magnetic moment (μB per atom) = 0.06
- formation energy (kJ/mol of formula units) = 22



# 4
VASP calculation (PBE) on a relaxed structure of La3Pr3Tm2.

abc: 5.851 6.100 8.985
angles: 109.58 108.99 90.09
Sites, in units of the cell vectors:
La 0.000 0.000 0.000
La 0.136 0.581 0.271
La 0.864 0.419 0.729
Pr 0.363 0.809 0.726
Pr 0.500 0.500 0.000
Pr 0.637 0.191 0.274
Tm 0.251 0.183 0.502
Tm 0.749 0.817 0.498

## Properties
- ΔE to the lowest computed polymorph (eV/f.u.) = 0.35
- E_tot (eV/f.u.) = -37.54
- magnetic moment (μB per atom) = 0.00
- formation energy (kJ/mol of formula units) = 51